(1)
! GGA-PBE HgGeSO, relaxed; values from VASP
&SYSTEM
  ibrav = 0, nat = 16, ntyp = 4
/
ATOMIC_SPECIES
Hg 200.59 Hg.upf
O 16.00 O.upf
S 32.06 S.upf
Ge 72.64 Ge.upf
CELL_PARAMETERS angstrom
6.186 0.000 0.000
0.000 7.477 0.000
0.000 0.000 7.780
ATOMIC_POSITIONS angstrom
Hg 4.719 3.332 0.108
O 0.426 2.390 6.773
S 2.810 0.721 5.479
S 0.283 6.756 1.590
O 2.667 5.087 2.884
Hg 1.467 7.071 3.781
O 3.519 1.348 1.006
O 5.760 6.128 4.896
Hg 4.560 4.145 3.998
Ge 4.891 6.641 6.327
Ge 1.798 4.575 1.452
Ge 1.295 2.902 5.342
S 5.903 3.017 2.300
Hg 1.626 0.406 7.671
Ge 4.388 0.836 2.437
S 3.376 4.460 6.190
! Space group: P2_12_12_1
! Final energy in eV/cell: -62.017
! E above lowest polymorph in meV/atom: 313

---

(2)
! GGA-PBE NaCoCuTeSe2, relaxed; values from VASP
&SYSTEM
  ibrav = 0, nat = 12, ntyp = 5
/
ATOMIC_SPECIES
Se 78.96 Se.upf
Te 127.60 Te.upf
Co 58.93 Co.upf
Cu 63.55 Cu.upf
Na 22.99 Na.upf
CELL_PARAMETERS angstrom
-6.572 -0.838 2.841
6.044 -2.700 -2.853
3.988 -0.625 9.040
ATOMIC_POSITIONS angstrom
Se 2.132 -2.158 9.434
Se 1.329 -2.005 -0.405
Te -2.611 -1.450 9.184
Se 0.373 -1.882 5.447
Co 1.994 -0.312 4.520
Se 3.088 -2.281 3.581
Cu 1.455 -2.032 1.928
Co 0.000 0.000 0.000
Cu 2.006 -2.131 7.100
Na -2.669 -1.423 3.790
Na 6.130 -2.740 5.239
Te 6.072 -2.713 -0.156
! Space group: Cmcm
! Final energy in eV/cell: -48.389

---

(3)
! GGA-PBE Zr2Ge2Pt, relaxed; values from VASP
&SYSTEM
  ibrav = 0, nat = 10, ntyp = 3
/
ATOMIC_SPECIES
Pt 195.08 Pt.upf
Ge 72.64 Ge.upf
Zr 91.22 Zr.upf
CELL_PARAMETERS angstrom
-1.816 -4.871 4.091
4.475 -4.002 -2.779
2.827 1.253 2.747
ATOMIC_POSITIONS angstrom
Pt 0.000 0.000 0.000
Ge 3.211 -5.250 -0.909
Zr 3.903 -5.960 1.816
Ge -0.552 -3.623 2.221
Ge 1.263 -6.756 1.782
Zr 4.106 -2.894 0.208
Ge 1.395 -2.117 -0.470
Zr 1.379 -4.726 3.850
Zr 1.583 -1.660 2.242
Pt 1.329 -4.437 0.656
! Space group: P4/mbm
! Final energy in eV/cell: -73.105

---

(4)
! GGA-PBE HgPd2Au, relaxed; values from VASP
&SYSTEM
  ibrav = 0, nat = 4, ntyp = 3
/
ATOMIC_SPECIES
Au 196.97 Au.upf
Pd 106.42 Pd.upf
Hg 200.59 Hg.upf
CELL_PARAMETERS angstrom
3.097 0.000 0.000
0.000 3.097 0.000
0.000 0.000 7.215
ATOMIC_POSITIONS angstrom
Au 0.000 0.000 3.607
Pd 1.548 1.548 5.381
Hg 0.000 0.000 0.000
Pd 1.548 1.548 1.834
! Space group: P4/mmm
! Final energy in eV/cell: -14.516
! ΔH_f (0 K) in eV/atom: -0.15

---

(5)
! GGA-PBE KAg3IrS4, relaxed; values from VASP
&SYSTEM
  ibrav = 0, nat = 9, ntyp = 4
/
ATOMIC_SPECIES
Ag 107.87 Ag.upf
Ir 192.22 Ir.upf
S 32.06 S.upf
K 39.10 K.upf
CELL_PARAMETERS angstrom
6.266 0.000 0.000
0.000 6.266 0.000
0.000 0.000 6.266
ATOMIC_POSITIONS angstrom
Ag 3.133 3.133 0.000
Ag 0.000 3.133 3.133
Ir 3.133 3.133 3.133
S 1.805 4.461 4.461
S 4.461 4.461 1.805
S 4.461 1.805 4.461
Ag 3.133 0.000 3.133
S 1.805 1.805 1.805
K 0.000 0.000 0.000
! Space group: P-43m
! Final energy in eV/cell: -35.882

---

(6)
! GGA-PBE ZrScCoSn, relaxed; values from VASP
&SYSTEM
  ibrav = 0, nat = 4, ntyp = 4
/
ATOMIC_SPECIES
Sc 44.96 Sc.upf
Co 58.93 Co.upf
Zr 91.22 Zr.upf
Sn 118.71 Sn.upf
CELL_PARAMETERS angstrom
-4.220 -0.789 1.907
-3.897 1.013 -2.419
-2.710 -3.466 -1.646
ATOMIC_POSITIONS angstrom
Sc -2.707 -0.810 -0.540
Co -8.120 -2.431 -1.619
Zr -5.414 -1.621 -1.079
Sn 0.000 0.000 0.000
! Space group: F-43m
! Final energy in eV/cell: -26.321
! E above lowest polymorph in meV/atom: 0

---

(7)
! GGA-PBE Zr2ScAl, relaxed; values from VASP
&SYSTEM
  ibrav = 0, nat = 4, ntyp = 3
/
ATOMIC_SPECIES
Al 26.98 Al.upf
Sc 44.96 Sc.upf
Zr 91.22 Zr.upf
CELL_PARAMETERS angstrom
0.000 3.494 3.494
3.494 0.000 3.494
3.494 3.494 0.000
ATOMIC_POSITIONS angstrom
Al 3.494 3.494 3.494
Sc 1.747 1.747 1.747
Zr 0.000 0.000 0.000
Zr 5.240 5.240 5.240
! Space group: F-43m
! Final energy in eV/cell: -27.561

---

(8)
! GGA-PBE Tb3DySi4, relaxed; values from VASP
&SYSTEM
  ibrav = 0, nat = 8, ntyp = 3
/
ATOMIC_SPECIES
Si 28.09 Si.upf
Tb 158.93 Tb.upf
Dy 162.50 Dy.upf
CELL_PARAMETERS angstrom
-3.591 1.386 -4.234
-1.008 -3.696 -0.355
-5.818 1.079 5.289
ATOMIC_POSITIONS angstrom
Si -5.890 -0.397 0.005
Si -3.854 -0.600 -3.666
Si -6.060 1.216 4.543
Tb -4.867 -0.956 2.927
Tb -6.984 1.738 1.738
Tb -5.044 1.572 -2.050
Si -4.021 1.013 0.870
Dy -2.928 -1.121 -0.860
! Space group: Pm
! Final energy in eV/cell: -46.832